1.
CeTh3Ge4 | Alexandria via LeMat-Bulk | PBE-GGA | optimized geometry; ΔE_f = -71.65 kJ per mole of atoms; raw total energy = -6.575 eV/atom
1.0
6.066 0.000 0.000
0.000 6.066 0.000
0.000 0.000 6.066
Ce Th Ge
1 3 4
Direct
0.000 0.000 0.000
0.000 0.500 0.500
0.500 0.000 0.500
0.500 0.500 0.000
0.000 0.000 0.500
0.000 0.500 0.000
0.500 0.000 0.000
0.500 0.500 0.500

=====

2.
Ce2ThGe | Alexandria via LeMat-Bulk | PBE-GGA | optimized geometry; ΔE to the lowest computed polymorph = 66 meV per atom; ΔE_f = -33.25 kJ per mole of atoms; raw total energy = -6.321 eV/atom
1.0
4.595 0.000 0.000
0.000 4.595 0.000
0.000 0.000 4.845
Ce Th Ge
2 1 1
Direct
0.000 0.500 0.000
0.500 0.000 0.000
0.000 0.000 0.500
0.500 0.500 0.500

=====

3.
Ce2Th2Ge | Alexandria via LeMat-Bulk | PBE-GGA | optimized geometry; ΔE_f = 36.31 kJ per mole of atoms; raw total energy = -5.889 eV/atom
1.0
-2.187 2.187 8.205
2.187 -2.187 8.205
2.187 2.187 -8.205
Ce Th Ge
2 2 1
Direct
0.082 0.082 0.000
0.918 0.918 0.000
0.250 0.750 0.500
0.750 0.250 0.500
0.500 0.500 0.000